(1)
Compound: Rb2FeCl
Source: the Alexandria database
Functional: PBE
Structure: optimized geometry

Results
ΔE_f (raw)	0.0314	eV per atom
calculated total energy	-48.48	eV/cell
total magnetization	12.0	Bohr magnetons per cell

The structure in CIF format:
```
data_Rb2FeCl
_symmetry_space_group_name_H-M 'F m -3 m'
_symmetry_Int_Tables_number 225
_symmetry_space_group_name_Hall '-F 4 2 3'
_cell_length_a 8.4706
_cell_length_b 8.4706
_cell_length_c 8.4706
_cell_angle_alpha 90.00
_cell_angle_beta 90.00
_cell_angle_gamma 90.00
loop_
_atom_site_label
_atom_site_type_symbol
_atom_site_fract_x
_atom_site_fract_y
_atom_site_fract_z
Rb1 Rb 0.2500 0.2500 0.2500
Fe1 Fe 0.0000 0.0000 0.0000
Cl1 Cl 0.0000 0.0000 0.5000
```


(2)
Compound: BaTc3Pt
Source: the Alexandria database
Functional: PBE
Structure: optimized geometry

Results
excess energy over the best structure of this formula in the dataset	790.2	kJ/mol of formula units
E_form	3102	meV per atom
calculated total energy	-23.55	eV/cell
total magnetization	4.2	Bohr magnetons per cell

The structure in CIF format:
```
data_BaTc3Pt
_symmetry_space_group_name_H-M 'P m -3 m'
_symmetry_Int_Tables_number 221
_symmetry_space_group_name_Hall '-P 4 2 3'
_cell_length_a 4.8873
_cell_length_b 4.8873
_cell_length_c 4.8873
_cell_angle_alpha 90.00
_cell_angle_beta 90.00
_cell_angle_gamma 90.00
loop_
_atom_site_label
_atom_site_type_symbol
_atom_site_fract_x
_atom_site_fract_y
_atom_site_fract_z
Ba1 Ba 0.0000 0.0000 0.0000
Tc1 Tc 0.0000 0.0000 0.5000
Pt1 Pt 0.5000 0.5000 0.5000
```


(3)
Compound: Tb8DyEr2
Source: the Alexandria database
Functional: PBE
Structure: optimized geometry

Results
excess energy over the best structure of this formula in the dataset	0.0	kJ/mol of formula units
E_form	17	meV per atom
calculated total energy	-50.58	eV/cell
total magnetization	0.0	Bohr magnetons per cell

The structure in CIF format:
```
data_Tb8DyEr2
_symmetry_space_group_name_H-M 'P -1'
_symmetry_Int_Tables_number 2
_cell_length_a 6.1255
_cell_length_b 6.1323
_cell_length_c 9.3801
_cell_angle_alpha 89.94
_cell_angle_beta 83.69
_cell_angle_gamma 80.31
loop_
_symmetry_equiv_pos_as_xyz
'x,y,z'
'-x,-y,-z'
loop_
_atom_site_label
_atom_site_type_symbol
_atom_site_fract_x
_atom_site_fract_y
_atom_site_fract_z
Tb1 Tb 0.0460 0.4088 0.3181
Tb2 Tb 0.1360 0.2270 0.9547
Tb3 Tb 0.2274 0.0453 0.5909
Tb4 Tb 0.4093 0.6815 0.8637
Dy1 Dy 0.5000 0.5000 0.5000
Er1 Er 0.3182 0.8638 0.2276
```


(4)
Compound: SrYP2
Source: the Alexandria database
Functional: PBE
Structure: optimized geometry

Results
excess energy over the best structure of this formula in the dataset	24.1	kJ/mol of formula units
E_form	-1098	meV per atom
calculated total energy	-70.08	eV/cell
total magnetization	0.0	Bohr magnetons per cell

The structure in CIF format:
```
data_SrYP2
_symmetry_space_group_name_H-M 'R 3 m'
_symmetry_Int_Tables_number 160
_symmetry_space_group_name_Hall 'R 3 -2"'
_cell_length_a 4.0790
_cell_length_b 4.0790
_cell_length_c 21.8645
_cell_angle_alpha 90.00
_cell_angle_beta 90.00
_cell_angle_gamma 120.00
loop_
_atom_site_label
_atom_site_type_symbol
_atom_site_fract_x
_atom_site_fract_y
_atom_site_fract_z
Sr1 Sr 0.0000 0.0000 0.0000
Y1 Y 0.0000 0.0000 0.1724
P1 P 0.0000 0.0000 0.5770
P2 P 0.0000 0.0000 0.7632
```


(5)
Compound: AgHgAuI2
Source: the Alexandria database
Functional: PBE
Structure: optimized geometry

Results
ΔE_f (raw)	0.4204	eV per atom
calculated total energy	-7.43	eV/cell
total magnetization	0.0	Bohr magnetons per cell

The structure in CIF format:
```
data_AgHgAuI2
_symmetry_space_group_name_H-M 'P 4/m m m'
_symmetry_Int_Tables_number 123
_symmetry_space_group_name_Hall '-P 4 2'
_cell_length_a 5.7338
_cell_length_b 5.7338
_cell_length_c 5.3494
_cell_angle_alpha 90.00
_cell_angle_beta 90.00
_cell_angle_gamma 90.00
loop_
_atom_site_label
_atom_site_type_symbol
_atom_site_fract_x
_atom_site_fract_y
_atom_site_fract_z
Ag1 Ag 0.0000 0.0000 0.0000
Hg1 Hg 0.0000 0.0000 0.5000
Au1 Au 0.5000 0.5000 0.5000
I1 I 0.0000 0.5000 0.0000
```


(6)
Compound: LiDy3S4
Source: the Alexandria database
Functional: PBE
Structure: optimized geometry

Results
excess energy over the best structure of this formula in the dataset	17.7	kJ/mol of formula units
ΔE_f (raw)	-1.9389	eV per atom
calculated total energy	-95.48	eV/cell
total magnetization	0.0	Bohr magnetons per cell

The structure in CIF format:
```
data_LiDy3S4
_symmetry_space_group_name_H-M 'C m m m'
_symmetry_Int_Tables_number 65
_symmetry_space_group_name_Hall '-C 2 2'
_cell_length_a 7.7668
_cell_length_b 10.9675
_cell_length_c 3.8778
_cell_angle_alpha 90.00
_cell_angle_beta 90.00
_cell_angle_gamma 90.00
loop_
_atom_site_label
_atom_site_type_symbol
_atom_site_fract_x
_atom_site_fract_y
_atom_site_fract_z
Li1 Li 0.0000 0.0000 0.0000
Dy1 Dy 0.0000 0.5000 0.0000
Dy2 Dy 0.2500 0.2500 0.5000
S1 S 0.0000 0.2456 0.0000
S2 S 0.2449 0.0000 0.5000
```


(7)
Compound: KY2Al
Source: the Alexandria database
Functional: PBE
Structure: optimized geometry

Results
E_form	317	meV per atom
calculated total energy	-33.00	eV/cell
total magnetization	0.8	Bohr magnetons per cell

The structure in CIF format:
```
data_KY2Al
_symmetry_space_group_name_H-M 'C 1 m 1'
_symmetry_Int_Tables_number 8
_cell_length_a 11.1626
_cell_length_b 3.4621
_cell_length_c 7.4614
_cell_angle_alpha 90.00
_cell_angle_beta 98.27
_cell_angle_gamma 90.00
loop_
_symmetry_equiv_pos_as_xyz
'x,y,z'
'x,-y,z'
'x+1/2,y+1/2,z'
'x+1/2,-y+1/2,z'
loop_
_atom_site_label
_atom_site_type_symbol
_atom_site_fract_x
_atom_site_fract_y
_atom_site_fract_z
K1 K 0.0000 0.0000 0.0000
Y1 Y 0.2220 0.0000 0.6510
Y2 Y 0.4738 0.0000 0.4635
Al1 Al 0.2404 0.5000 0.3197
```


(8)
Compound: MnZnTe
Source: the Alexandria database
Functional: PBE
Structure: optimized geometry

Results
excess energy over the best structure of this formula in the dataset	22.5	kJ/mol of formula units
ΔE_f (raw)	-0.0226	eV per atom
calculated total energy	-54.61	eV/cell
total magnetization	11.9	Bohr magnetons per cell

The structure in CIF format:
```
data_MnZnTe
_symmetry_space_group_name_H-M 'A m a 2'
_symmetry_Int_Tables_number 40
_cell_length_a 4.0695
_cell_length_b 9.7165
_cell_length_c 6.0233
_cell_angle_alpha 90.00
_cell_angle_beta 90.00
_cell_angle_gamma 90.00
loop_
_symmetry_equiv_pos_as_xyz
'x,y,z'
'-x,-y,z'
'-x+1/2,y,z'
'x+1/2,-y,z'
'x,y+1/2,z+1/2'
'-x,-y+1/2,z+1/2'
'-x+1/2,y+1/2,z+1/2'
'x+1/2,-y+1/2,z+1/2'
loop_
_atom_site_label
_atom_site_type_symbol
_atom_site_fract_x
_atom_site_fract_y
_atom_site_fract_z
Mn1 Mn 0.2500 0.0853 0.0000
Zn1 Zn 0.2500 0.4034 0.1957
Te1 Te 0.2500 0.3334 0.7616
```


(9)
Compound: SrNiRh2
Source: the Alexandria database
Functional: PBE
Structure: optimized geometry

Results
excess energy over the best structure of this formula in the dataset	120.4	kJ/mol of formula units
E_form	236	meV per atom
calculated total energy	-21.22	eV/cell
total magnetization	0.9	Bohr magnetons per cell

The structure in CIF format:
```
data_SrNiRh2
_symmetry_space_group_name_H-M 'P 1 2/m 1'
_symmetry_Int_Tables_number 10
_cell_length_a 2.9591
_cell_length_b 4.3752
_cell_length_c 5.6719
_cell_angle_alpha 90.00
_cell_angle_beta 102.09
_cell_angle_gamma 90.00
loop_
_symmetry_equiv_pos_as_xyz
'x,y,z'
'-x,-y,-z'
'-x,y,-z'
'x,-y,z'
loop_
_atom_site_label
_atom_site_type_symbol
_atom_site_fract_x
_atom_site_fract_y
_atom_site_fract_z
Sr1 Sr 0.0000 0.0000 0.0000
Ni1 Ni 0.5000 0.0000 0.5000
Rh1 Rh 0.3249 0.5000 0.6929
```


(10)
Compound: Sn2AsAu
Source: the Alexandria database
Functional: PBE
Structure: optimized geometry

Results
E_form	55	meV per atom
calculated total energy	-15.71	eV/cell
total magnetization	0.0	Bohr magnetons per cell

The structure in CIF format:
```
data_Sn2AsAu
_symmetry_space_group_name_H-M 'P 4/m m m'
_symmetry_Int_Tables_number 123
_symmetry_space_group_name_Hall '-P 4 2'
_cell_length_a 3.4967
_cell_length_b 3.4967
_cell_length_c 7.4201
_cell_angle_alpha 90.00
_cell_angle_beta 90.00
_cell_angle_gamma 90.00
loop_
_atom_site_label
_atom_site_type_symbol
_atom_site_fract_x
_atom_site_fract_y
_atom_site_fract_z
Sn1 Sn 0.0000 0.0000 0.2488
As1 As 0.5000 0.5000 0.0000
Au1 Au 0.5000 0.5000 0.5000
```


(11)
Compound: TiGa3O
Source: the Alexandria database
Functional: PBE
Structure: optimized geometry

Results
excess energy over the best structure of this formula in the dataset	0.0	kJ/mol of formula units
ΔE_f (raw)	-0.2107	eV per atom
calculated total energy	-22.99	eV/cell
total magnetization	0.0	Bohr magnetons per cell

The structure in CIF format:
```
data_TiGa3O
_symmetry_space_group_name_H-M 'P m -3 m'
_symmetry_Int_Tables_number 221
_symmetry_space_group_name_Hall '-P 4 2 3'
_cell_length_a 4.2725
_cell_length_b 4.2725
_cell_length_c 4.2725
_cell_angle_alpha 90.00
_cell_angle_beta 90.00
_cell_angle_gamma 90.00
loop_
_atom_site_label
_atom_site_type_symbol
_atom_site_fract_x
_atom_site_fract_y
_atom_site_fract_z
Ti1 Ti 0.0000 0.0000 0.0000
Ga1 Ga 0.0000 0.5000 0.5000
O1 O 0.5000 0.5000 0.5000
```


Question: What is the formula in the fifth record?
Answer: AgHgAuI2


Question: Among the records above, which one has the highest calculated total energy?
Answer: AgHgAuI2